Record 1
UNi3Ge3 | PBE | relaxed

Values from the calculation:
symmetry	Pm-3n, No. 223
ΔH_f (0 K)	0.0757	eV per atom
density of states at the Fermi level	7.74	states/eV/f.u.
mass density	8120	kg/m3
V	258.5	Å³/cell
total DFT energy (no corrections)	-5.99	eV per atom
energy above the most stable polymorph in this dataset	141	meV/atom

The structure in CIF format:
```
data_UNi3Ge3
_chemical_formula_sum 'U2 Ni6 Ge6'
_cell_length_a 6.370
_cell_length_b 6.370
_cell_length_c 6.370
_cell_angle_alpha 90.00
_cell_angle_beta 90.00
_cell_angle_gamma 90.00
_symmetry_space_group_name_H-M 'P 1'
_symmetry_Int_Tables_number 1
_symmetry_space_group_name_Hall 'P 1'
loop_
_atom_site_label
_atom_site_fract_x
_atom_site_fract_y
_atom_site_fract_z
U1 0.000 0.000 0.000
U2 0.500 0.500 0.500
Ni1 0.250 0.000 0.500
Ni2 0.500 0.750 0.000
Ni3 0.000 0.500 0.750
Ni4 0.750 0.000 0.500
Ni5 0.000 0.500 0.250
Ni6 0.500 0.250 0.000
Ge1 0.250 0.500 0.000
Ge2 0.000 0.750 0.500
Ge3 0.750 0.500 0.000
Ge4 0.000 0.250 0.500
Ge5 0.500 0.000 0.250
Ge6 0.500 0.000 0.750
```


Record 2
UNi12Ge4 | PBE | relaxed

Values from the calculation:
symmetry	Im-3, No. 204
ΔH_f (0 K)	0.1984	eV per atom
density of states at the Fermi level	13.49	states/eV/f.u.
mass density	8251	kg/m3
V	248.1	Å³/cell
total DFT energy (no corrections)	-5.63	eV per atom

The structure in CIF format:
```
data_UNi12Ge4
_chemical_formula_sum 'U1 Ni12 Ge4'
_cell_length_a 6.857
_cell_length_b 6.857
_cell_length_c 6.857
_cell_angle_alpha 109.47
_cell_angle_beta 109.47
_cell_angle_gamma 109.47
_symmetry_space_group_name_H-M 'P 1'
_symmetry_Int_Tables_number 1
_symmetry_space_group_name_Hall 'P 1'
loop_
_atom_site_label
_atom_site_fract_x
_atom_site_fract_y
_atom_site_fract_z
Ge1 0.500 0.500 0.500
Ge2 0.500 0.000 0.000
Ge3 0.000 0.000 0.500
Ge4 0.000 0.500 0.000
Ni1 0.201 0.848 0.352
Ni2 0.848 0.648 0.496
Ni3 0.152 0.648 0.799
Ni4 0.648 0.799 0.152
Ni5 0.496 0.848 0.648
Ni6 0.352 0.504 0.152
Ni7 0.799 0.152 0.648
Ni8 0.648 0.496 0.848
Ni9 0.152 0.352 0.504
Ni10 0.352 0.201 0.848
Ni11 0.848 0.352 0.201
Ni12 0.504 0.152 0.352
U1 0.000 0.000 0.000
```


Record 3
U4NiGe8 | PBE | relaxed

Values from the calculation:
symmetry	Pmm2, No. 25
ΔH_f (0 K)	-0.2417	eV per atom
density of states at the Fermi level	23.12	states/eV/f.u.
mass density	10243	kg/m3
V	258.1	Å³/cell
total DFT energy (no corrections)	-7.00	eV per atom

The structure in CIF format:
```
data_U4NiGe8
_chemical_formula_sum 'U4 Ni1 Ge8'
_cell_length_a 4.021
_cell_length_b 4.163
_cell_length_c 15.417
_cell_angle_alpha 90.00
_cell_angle_beta 90.00
_cell_angle_gamma 90.00
_symmetry_space_group_name_H-M 'P 1'
_symmetry_Int_Tables_number 1
_symmetry_space_group_name_Hall 'P 1'
loop_
_atom_site_label
_atom_site_fract_x
_atom_site_fract_y
_atom_site_fract_z
Ge1 0.000 0.000 0.461
Ge2 0.500 0.000 0.234
Ge3 0.000 0.500 0.236
Ge4 0.500 0.000 0.571
Ge5 0.500 0.500 0.753
Ge6 0.500 0.500 0.052
Ge7 0.000 0.000 0.751
Ge8 0.000 0.500 0.935
U1 0.500 0.500 0.401
U2 0.500 0.000 0.897
U3 0.000 0.500 0.607
U4 0.000 0.000 0.094
Ni1 0.000 0.000 0.311
```


Record 4
UNiGe2 | PBE | relaxed

Values from the calculation:
symmetry	R-3m, No. 166
ΔH_f (0 K)	0.1282	eV per atom
density of states at the Fermi level	5.19	states/eV/f.u.
mass density	10614	kg/m3
V	69.1	Å³/cell
total DFT energy (no corrections)	-6.45	eV per atom

The structure in CIF format:
```
data_UNiGe2
_chemical_formula_sum 'U1 Ni1 Ge2'
_cell_length_a 2.876
_cell_length_b 2.876
_cell_length_c 9.794
_cell_angle_alpha 81.56
_cell_angle_beta 81.56
_cell_angle_gamma 60.00
_symmetry_space_group_name_H-M 'P 1'
_symmetry_Int_Tables_number 1
_symmetry_space_group_name_Hall 'P 1'
loop_
_atom_site_label
_atom_site_fract_x
_atom_site_fract_y
_atom_site_fract_z
Ge1 0.898 0.898 0.307
Ge2 0.102 0.102 0.693
Ni1 0.500 0.500 0.500
U1 0.000 0.000 0.000
```


Record 5
UNi2Ge | PBE | relaxed

Values from the calculation:
symmetry	Cmcm, No. 63
ΔH_f (0 K)	-0.1464	eV per atom
density of states at the Fermi level	8.08	states/eV/f.u.
mass density	11162	kg/m3
V	127.4	Å³/cell
total DFT energy (no corrections)	-7.01	eV per atom

The structure in CIF format:
```
data_UNi2Ge
_chemical_formula_sum 'U2 Ni4 Ge2'
_cell_length_a 6.665
_cell_length_b 6.665
_cell_length_c 4.358
_cell_angle_alpha 90.00
_cell_angle_beta 90.00
_cell_angle_gamma 138.86
_symmetry_space_group_name_H-M 'P 1'
_symmetry_Int_Tables_number 1
_symmetry_space_group_name_Hall 'P 1'
loop_
_atom_site_label
_atom_site_fract_x
_atom_site_fract_y
_atom_site_fract_z
U1 0.116 0.884 0.750
U2 0.884 0.116 0.250
Ni1 0.543 0.457 0.750
Ni2 0.758 0.242 0.750
Ni3 0.457 0.543 0.250
Ni4 0.242 0.758 0.250
Ge1 0.353 0.647 0.750
Ge2 0.647 0.353 0.250
```


Record 6
UNiGe | PBE | relaxed

Values from the calculation:
symmetry	C2/m, No. 12
ΔH_f (0 K)	-0.3222	eV per atom
density of states at the Fermi level	4.08	states/eV/f.u.
mass density	11843	kg/m3
V	103.6	Å³/cell
total DFT energy (no corrections)	-7.55	eV per atom

The structure in CIF format:
```
data_UNiGe
_chemical_formula_sum 'U2 Ni2 Ge2'
_cell_length_a 4.046
_cell_length_b 4.905
_cell_length_c 5.958
_cell_angle_alpha 110.04
_cell_angle_beta 109.85
_cell_angle_gamma 90.00
_symmetry_space_group_name_H-M 'P 1'
_symmetry_Int_Tables_number 1
_symmetry_space_group_name_Hall 'P 1'
loop_
_atom_site_label
_atom_site_fract_x
_atom_site_fract_y
_atom_site_fract_z
Ge1 0.408 0.747 0.811
Ge2 0.600 0.248 0.193
U1 0.107 0.723 0.207
U2 0.901 0.273 0.796
Ni1 0.789 0.714 0.572
Ni2 0.219 0.282 0.431
```


Record 7
UNiGe | PBE | relaxed

Values from the calculation:
symmetry	R-3m, No. 166
ΔH_f (0 K)	-0.2371	eV per atom
density of states at the Fermi level	4.30	states/eV/f.u.
mass density	11950	kg/m3
V	102.6	Å³/cell
total DFT energy (no corrections)	-7.47	eV per atom

The structure in CIF format:
```
data_UNiGe
_chemical_formula_sum 'U2 Ni2 Ge2'
_cell_length_a 3.941
_cell_length_b 3.941
_cell_length_c 7.964
_cell_angle_alpha 75.68
_cell_angle_beta 75.68
_cell_angle_gamma 60.00
_symmetry_space_group_name_H-M 'P 1'
_symmetry_Int_Tables_number 1
_symmetry_space_group_name_Hall 'P 1'
loop_
_atom_site_label
_atom_site_fract_x
_atom_site_fract_y
_atom_site_fract_z
U1 0.863 0.863 0.410
U2 0.137 0.137 0.590
Ni1 0.736 0.736 0.793
Ni2 0.264 0.264 0.207
Ge1 0.372 0.372 0.885
Ge2 0.628 0.628 0.115
```


Record 8
UNi2Ge | PBE | relaxed

Values from the calculation:
symmetry	P4/mmm, No. 123
ΔH_f (0 K)	-0.1360	eV per atom
density of states at the Fermi level	3.70	states/eV/f.u.
mass density	11999	kg/m3
V	59.2	Å³/cell
total DFT energy (no corrections)	-7.00	eV per atom

The structure in CIF format:
```
data_UNi2Ge
_chemical_formula_sum 'U1 Ni2 Ge1'
_cell_length_a 2.997
_cell_length_b 2.997
_cell_length_c 6.593
_cell_angle_alpha 90.00
_cell_angle_beta 90.00
_cell_angle_gamma 90.00
_symmetry_space_group_name_H-M 'P 1'
_symmetry_Int_Tables_number 1
_symmetry_space_group_name_Hall 'P 1'
loop_
_atom_site_label
_atom_site_fract_x
_atom_site_fract_y
_atom_site_fract_z
Ni1 0.000 0.000 0.778
Ni2 0.000 0.000 0.222
U1 0.500 0.500 0.500
Ge1 0.500 0.500 0.000
```


Record 9
UNi5Ge2 | PBE | relaxed

Values from the calculation:
symmetry	Immm, No. 71
ΔH_f (0 K)	-0.2643	eV per atom
density of states at the Fermi level	12.49	states/eV/f.u.
mass density	9937	kg/m3
V	113.1	Å³/cell
total DFT energy (no corrections)	-6.44	eV per atom

The structure in CIF format:
```
data_UNi5Ge2
_chemical_formula_sum 'U1 Ni5 Ge2'
_cell_length_a 3.641
_cell_length_b 6.039
_cell_length_c 6.039
_cell_angle_alpha 65.86
_cell_angle_beta 72.46
_cell_angle_gamma 72.46
_symmetry_space_group_name_H-M 'P 1'
_symmetry_Int_Tables_number 1
_symmetry_space_group_name_Hall 'P 1'
loop_
_atom_site_label
_atom_site_fract_x
_atom_site_fract_y
_atom_site_fract_z
Ni1 0.633 0.558 0.175
Ni2 0.367 0.825 0.442
Ni3 0.367 0.442 0.825
Ni4 0.000 0.500 0.500
Ni5 0.633 0.175 0.558
U1 0.000 0.000 0.000
Ge1 0.246 0.254 0.254
Ge2 0.754 0.746 0.746
```


Record 10
U3Ni6Ge5 | PBE | relaxed

Values from the calculation:
symmetry	Pmmn, No. 59
ΔH_f (0 K)	-0.3802	eV per atom
density of states at the Fermi level	19.80	states/eV/f.u.
mass density	10836	kg/m3
V	438.1	Å³/cell
total DFT energy (no corrections)	-6.93	eV per atom

The structure in CIF format:
```
data_U3Ni6Ge5
_chemical_formula_sum 'U6 Ni12 Ge10'
_cell_length_a 4.102
_cell_length_b 8.741
_cell_length_c 12.219
_cell_angle_alpha 90.00
_cell_angle_beta 90.00
_cell_angle_gamma 90.00
_symmetry_space_group_name_H-M 'P 1'
_symmetry_Int_Tables_number 1
_symmetry_space_group_name_Hall 'P 1'
loop_
_atom_site_label
_atom_site_fract_x
_atom_site_fract_y
_atom_site_fract_z
Ni1 0.500 0.032 0.358
Ni2 0.000 0.616 0.338
Ni3 0.000 0.968 0.142
Ni4 0.500 0.384 0.838
Ni5 0.500 0.944 0.000
Ni6 0.000 0.616 0.662
Ni7 0.500 0.384 0.162
Ni8 0.500 0.032 0.642
Ni9 0.000 0.056 0.500
Ni10 0.000 0.422 0.500
Ni11 0.500 0.578 0.000
Ni12 0.000 0.968 0.858
U1 0.000 0.247 0.696
U2 0.000 0.241 0.000
U3 0.500 0.759 0.500
U4 0.500 0.753 0.804
U5 0.500 0.753 0.196
U6 0.000 0.247 0.304
Ge1 0.000 0.775 0.000
Ge2 0.000 0.523 0.861
Ge3 0.000 0.523 0.139
Ge4 0.500 0.111 0.839
Ge5 0.500 0.477 0.361
Ge6 0.000 0.889 0.661
Ge7 0.500 0.111 0.161
Ge8 0.000 0.889 0.339
Ge9 0.500 0.225 0.500
Ge10 0.500 0.477 0.639
```


Record 11
U3Ni2Ge4 | PBE | relaxed

Values from the calculation:
symmetry	C2/m, No. 12
ΔH_f (0 K)	-0.3577	eV per atom
density of states at the Fermi level	15.61	states/eV/f.u.
mass density	11287	kg/m3
V	165.1	Å³/cell
total DFT energy (no corrections)	-7.46	eV per atom

The structure in CIF format:
```
data_U3Ni2Ge4
_chemical_formula_sum 'U3 Ni2 Ge4'
_cell_length_a 4.137
_cell_length_b 5.721
_cell_length_c 8.301
_cell_angle_alpha 113.84
_cell_angle_beta 90.00
_cell_angle_gamma 111.20
_symmetry_space_group_name_H-M 'P 1'
_symmetry_Int_Tables_number 1
_symmetry_space_group_name_Hall 'P 1'
loop_
_atom_site_label
_atom_site_fract_x
_atom_site_fract_y
_atom_site_fract_z
Ni1 0.680 0.360 0.315
Ni2 0.320 0.640 0.685
U1 0.000 0.000 0.000
U2 0.603 0.207 0.647
U3 0.397 0.793 0.353
Ge1 0.890 0.780 0.606
Ge2 0.281 0.562 0.939
Ge3 0.719 0.438 0.061
Ge4 0.110 0.220 0.394
```


Record 12
UNi2Ge | PBE | relaxed

Values from the calculation:
symmetry	R-3m, No. 166
ΔH_f (0 K)	-0.2919	eV per atom
density of states at the Fermi level	5.17	states/eV/f.u.
mass density	11180	kg/m3
V	63.6	Å³/cell
total DFT energy (no corrections)	-7.16	eV per atom

The structure in CIF format:
```
data_UNi2Ge
_chemical_formula_sum 'U1 Ni2 Ge1'
_cell_length_a 4.056
_cell_length_b 4.056
_cell_length_c 5.039
_cell_angle_alpha 66.26
_cell_angle_beta 66.26
_cell_angle_gamma 60.00
_symmetry_space_group_name_H-M 'P 1'
_symmetry_Int_Tables_number 1
_symmetry_space_group_name_Hall 'P 1'
loop_
_atom_site_label
_atom_site_fract_x
_atom_site_fract_y
_atom_site_fract_z
U1 0.000 0.000 0.000
Ge1 0.500 0.500 0.500
Ni1 0.218 0.218 0.347
Ni2 0.782 0.782 0.653
```


- Look up the mass density of the fourth one.
  10614 kg/m3


- mass density of number 2 (UNi12Ge4)?
  8251 kg/m3